<P>
Material: LaAs2SeS
Method: DFT, PBE
State: optimized geometry

```
5
Lattice="-0.5841 -2.9525 -3.8638 2.6415 -3.4600 2.2446 -4.0978 -1.8229 2.0125" Properties=species:S:1:pos:R:3 pbc="T T T"
S 0.0000 0.0000 0.0000
As -0.2921 -1.4763 -1.9319
As 1.3208 -1.7300 1.1223
La -1.0202 -4.1177 0.1967
Se -2.0489 -0.9115 1.0062
```

Computed properties:
Calculated volume, Å³/cell: 118
Fermi-level density of states, states/eV/cell: 4.2
Crystal system: tetragonal
Space-group type: No. 123

=====

<Q>
Material: LaAs2SeS
Method: DFT, PBE
State: optimized geometry

```
5
Lattice="5.8306 0.0000 0.0000 0.0000 5.8306 0.0000 0.0000 0.0000 5.6618" Properties=species:S:1:pos:R:3 pbc="T T T"
La 0.0000 0.0000 0.0000
Se 0.0000 0.0000 2.8309
As 2.9153 0.0000 0.0000
As 0.0000 2.9153 0.0000
S 2.9153 2.9153 2.8309
```

Computed properties:
Calculated volume, Å³/cell: 192
Fermi-level density of states, states/eV/cell: 7.3
Crystal system: tetragonal
Space-group type: No. 123

=====

Stability summary: most stable <P>, least stable <Q>.

=====

<P>
Material: LaSbAs
Method: DFT, PBE
State: optimized geometry

```
3
Lattice="5.1713 0.0000 0.0000 2.5857 4.4785 0.0000 2.5857 1.4928 4.2224" Properties=species:S:1:pos:R:3 pbc="T T T"
Sb 0.0000 0.0000 0.0000
La 7.7570 4.4785 3.1668
As 5.1713 2.9857 2.1112
```

Computed properties:
Calculated volume, Å³/cell: 98
Fermi-level density of states, states/eV/cell: 3.1
Crystal system: cubic
Space-group type: No. 216

=====

<Q>
Material: LaSbAs
Method: DFT, PBE
State: optimized geometry

```
3
Lattice="5.0336 0.0000 0.0000 2.5168 4.3592 0.0000 2.5168 1.4531 4.1099" Properties=species:S:1:pos:R:3 pbc="T T T"
La 0.0000 0.0000 0.0000
As 7.5504 4.3592 3.0824
Sb 5.0336 2.9062 2.0550
```

Computed properties:
Calculated volume, Å³/cell: 90
Fermi-level density of states, states/eV/cell: 3.7
Crystal system: cubic
Space-group type: No. 216

=====

Stability summary: most stable <Q>, least stable <P>.

=====

<P>
Material: LaSbAsSe2
Method: DFT, PBE
State: optimized geometry

```
5
Lattice="-3.5260 -4.3154 0.8720 1.5248 -0.1489 5.4285 -4.2208 3.7087 1.2873" Properties=species:S:1:pos:R:3 pbc="T T T"
Se -1.7630 -2.1577 0.4360
Se 0.7624 -0.0745 2.7143
La 0.0000 0.0000 0.0000
As -2.1104 1.8543 0.6436
Sb -3.1110 -0.3778 3.7939
```

Computed properties:
Calculated volume, Å³/cell: 183
Fermi-level density of states, states/eV/cell: 8.1
Crystal system: tetragonal
Space-group type: No. 123

=====

<Q>
Material: LaSbAsSe2
Method: DFT, PBE
State: optimized geometry

```
5
Lattice="-0.4395 -0.2148 5.2499 4.3119 -3.0252 0.2372 2.9860 4.2894 0.4255" Properties=species:S:1:pos:R:3 pbc="T T T"
Se -0.2197 -0.1074 2.6250
Se 2.1560 -1.5126 0.1186
La 3.4292 0.5247 2.9563
As 1.4930 2.1447 0.2127
Sb 0.0000 0.0000 0.0000
```

Computed properties:
Calculated volume, Å³/cell: 146
Fermi-level density of states, states/eV/cell: 3.0
Crystal system: tetragonal
Space-group type: No. 123

=====

Stability summary: most stable <Q>, least stable <P>.

=====

<P>
Material: LaSb2TeAs
Method: DFT, PBE
State: optimized geometry

```
5
Lattice="6.1712 0.0000 0.0000 0.0000 6.1712 0.0000 0.0000 0.0000 6.0258" Properties=species:S:1:pos:R:3 pbc="T T T"
La 0.0000 0.0000 0.0000
Sb 3.0856 0.0000 0.0000
Sb 0.0000 3.0856 0.0000
As 3.0856 3.0856 3.0129
Te 0.0000 0.0000 3.0129
```

Computed properties:
Calculated volume, Å³/cell: 229
Fermi-level density of states, states/eV/cell: 6.8
Crystal system: tetragonal
Space-group type: No. 123

=====

<Q>
Material: LaSb2TeAs
Method: DFT, PBE
State: optimized geometry

```
5
Lattice="5.3349 0.0000 0.0000 0.0000 5.3349 0.0000 0.0000 0.0000 5.5346" Properties=species:S:1:pos:R:3 pbc="T T T"
As 0.0000 0.0000 0.0000
La 2.6675 2.6675 2.7673
Sb 2.6675 0.0000 0.0000
Sb 0.0000 2.6675 0.0000
Te 0.0000 0.0000 2.7673
```

Computed properties:
Calculated volume, Å³/cell: 158
Fermi-level density of states, states/eV/cell: 4.3
Crystal system: tetragonal
Space-group type: No. 123

=====

Stability summary: most stable <Q>, least stable <P>.

=====

<P>
Material: LaSbTe2As
Method: DFT, PBE
State: optimized geometry

```
5
Lattice="5.5182 0.0000 0.0000 0.0000 5.5182 0.0000 0.0000 0.0000 5.2459" Properties=species:S:1:pos:R:3 pbc="T T T"
La 2.7591 2.7591 2.6229
As 0.0000 0.0000 0.0000
Sb 0.0000 0.0000 2.6229
Te 0.0000 2.7591 0.0000
Te 2.7591 0.0000 0.0000
```

Computed properties:
Calculated volume, Å³/cell: 160
Fermi-level density of states, states/eV/cell: 2.4
Crystal system: tetragonal
Space-group type: No. 123

=====

<Q>
Material: LaSbTe2As
Method: DFT, PBE
State: optimized geometry

```
5
Lattice="-6.0064 1.0266 -0.1273 -0.6750 -3.3217 5.0653 0.8157 5.2097 3.5251" Properties=species:S:1:pos:R:3 pbc="T T T"
Sb 0.4079 2.6049 1.7625
As -2.9329 1.4573 4.2316
La 0.0000 0.0000 0.0000
Te -3.0032 0.5133 -0.0636
Te -0.3375 -1.6608 2.5327
```

Computed properties:
Calculated volume, Å³/cell: 236
Fermi-level density of states, states/eV/cell: 8.2
Crystal system: tetragonal
Space-group type: No. 123

=====

Stability summary: most stable <P>, least stable <Q>.

=====

<P>
Material: LaSc3As
Method: DFT, PBE
State: optimized geometry

```
5
Lattice="-1.4679 4.9393 -0.0372 -4.9029 -1.4522 0.6366 0.5997 0.2167 5.1133" Properties=species:S:1:pos:R:3 pbc="T T T"
Sc -0.7339 2.4696 -0.0186
Sc -2.4514 -0.7261 0.3183
Sc 0.2998 0.1084 2.5566
As -2.8855 1.8519 2.8563
La 0.0000 0.0000 0.0000
```

Computed properties:
Calculated volume, Å³/cell: 137
Fermi-level density of states, states/eV/cell: 8.2
Crystal system: cubic
Space-group type: No. 221

=====

<Q>
Material: LaSc3As
Method: DFT, PBE
State: optimized geometry

```
5
Lattice="-2.4209 3.9389 -2.3496 -3.6440 -3.2652 -1.7193 -2.7851 0.8483 4.2918" Properties=species:S:1:pos:R:3 pbc="T T T"
As 0.0000 0.0000 0.0000
Sc -1.8220 -1.6326 -0.8597
Sc -1.2104 1.9695 -1.1748
Sc -1.3926 0.4242 2.1459
La -4.4250 0.7610 0.1115
```

Computed properties:
Calculated volume, Å³/cell: 139
Fermi-level density of states, states/eV/cell: 8.7
Crystal system: cubic
Space-group type: No. 221

=====

Stability summary: most stable <Q>, least stable <P>.

=====

<P>
Material: LaSc2As2
Method: DFT, PBE
State: optimized geometry

```
10
Lattice="-0.9555 -7.4509 2.1713 7.4727 -1.4738 -1.7690 0.9789 0.8686 3.4116" Properties=species:S:1:pos:R:3 pbc="T T T"
As 0.4498 -4.9957 1.1429
As 6.0674 -3.9290 -0.7406
As 2.5368 -1.5876 -0.3237
As 3.9804 -7.3371 0.7260
La 3.2586 -4.4623 0.2012
La 0.0000 0.0000 0.0000
Sc 1.2732 -2.3965 2.2017
Sc 6.2230 -5.6595 1.6122
Sc 2.2949 -6.4177 2.9324
Sc 5.2013 -1.6384 0.8815
```

Computed properties:
Calculated volume, Å³/cell: 223
Fermi-level density of states, states/eV/cell: 7.8
Crystal system: tetragonal
Space-group type: No. 127

=====

<Q>
Material: LaSc2As2
Method: DFT, PBE
State: optimized geometry

```
5
Lattice="4.2316 0.0000 0.0000 0.0000 4.2316 0.0000 2.1158 2.1158 6.5265" Properties=species:S:1:pos:R:3 pbc="T T T"
Sc 4.2316 2.1158 3.2633
Sc 2.1158 4.2316 3.2633
As 4.2315 4.2315 5.0133
As 2.1158 2.1158 1.5132
La 0.0000 0.0000 0.0000
```

Computed properties:
Calculated volume, Å³/cell: 117
Fermi-level density of states, states/eV/cell: 4.3
Crystal system: tetragonal
Space-group type: No. 139

=====

Stability summary: most stable <Q>, least stable <P>.

=====

<P>
Material: LaScAs3
Method: DFT, PBE
State: optimized geometry

```
5
Lattice="-3.4438 -1.2444 -4.0477 1.2606 -5.2819 0.5513 -4.0427 -0.5870 3.6200" Properties=species:S:1:pos:R:3 pbc="T T T"
As 0.6303 -2.6410 0.2756
As -2.0213 -0.2935 1.8100
As -1.7219 -0.6222 -2.0238
Sc -3.1129 -3.5567 0.0618
La 0.0000 0.0000 0.0000
```

Computed properties:
Calculated volume, Å³/cell: 163
Fermi-level density of states, states/eV/cell: 5.3
Crystal system: cubic
Space-group type: No. 221

=====

<Q>
Material: LaScAs3
Method: DFT, PBE
State: optimized geometry

```
5
Lattice="5.0635 0.0000 0.0000 0.0000 5.0635 0.0000 0.0000 0.0000 5.0635" Properties=species:S:1:pos:R:3 pbc="T T T"
As 2.5317 0.0000 0.0000
As 0.0000 0.0000 2.5317
As 0.0000 2.5317 0.0000
Sc 0.0000 0.0000 0.0000
La 2.5317 2.5317 2.5317
```

Computed properties:
Calculated volume, Å³/cell: 130
Fermi-level density of states, states/eV/cell: 4.1
Crystal system: cubic
Space-group type: No. 221

=====

Stability summary: most stable <Q>, least stable <P>.

=====

<P>
Material: LaScAsSe2
Method: DFT, PBE
State: optimized geometry

```
5
Lattice="-1.2634 -4.2113 -2.5969 4.4095 -2.1741 1.3803 -2.2454 -1.9021 4.1769" Properties=species:S:1:pos:R:3 pbc="T T T"
La 0.4503 -4.1437 1.4801
Sc 0.0000 0.0000 0.0000
Se -0.6317 -2.1056 -1.2985
Se 2.2047 -1.0870 0.6902
As -1.1227 -0.9511 2.0885
```

Computed properties:
Calculated volume, Å³/cell: 133
Fermi-level density of states, states/eV/cell: 3.7
Crystal system: tetragonal
Space-group type: No. 123

=====

<Q>
Material: LaScAsSe2
Method: DFT, PBE
State: optimized geometry

```
5
Lattice="-3.4491 3.1462 -3.0784 0.8623 -3.3521 -4.3921 -4.3148 -3.1825 1.5818" Properties=species:S:1:pos:R:3 pbc="T T T"
Se 0.4312 -1.6761 -2.1960
Se -1.7245 1.5731 -1.5392
La 0.0000 0.0000 0.0000
As -2.1574 -1.5912 0.7909
Sc -3.4508 -1.6942 -2.9443
```

Computed properties:
Calculated volume, Å³/cell: 175
Fermi-level density of states, states/eV/cell: 5.8
Crystal system: tetragonal
Space-group type: No. 123

=====

Stability summary: most stable <P>, least stable <Q>.

=====

<P>
Material: SrLa2ScAs
Method: DFT, PBE
State: optimized geometry

```
5
Lattice="5.7837 0.0000 0.0000 0.0000 5.2463 0.0000 0.0000 0.0000 5.7837" Properties=species:S:1:pos:R:3 pbc="T T T"
La 0.0000 0.0000 2.8918
La 2.8918 0.0000 0.0000
Sc 0.0000 0.0000 0.0000
As 0.0000 2.6231 0.0000
Sr 2.8918 2.6231 2.8918
```

Computed properties:
Calculated volume, Å³/cell: 175
Fermi-level density of states, states/eV/cell: 8.5
Crystal system: tetragonal
Space-group type: No. 123

=====

<Q>
Material: SrLa2ScAs
Method: DFT, PBE
State: optimized geometry

```
5
Lattice="5.7971 0.0000 0.0000 0.0000 5.8848 0.0000 0.0000 0.0000 5.7971" Properties=species:S:1:pos:R:3 pbc="T T T"
La 0.0000 0.0000 2.8986
La 2.8986 0.0000 0.0000
Sr 0.0000 2.9424 0.0000
Sc 2.8986 2.9424 2.8986
As 0.0000 0.0000 0.0000
```

Computed properties:
Calculated volume, Å³/cell: 198
Fermi-level density of states, states/eV/cell: 12.8
Crystal system: tetragonal
Space-group type: No. 123

=====

Stability summary: most stable <Q>, least stable <P>.

=====

<P>
Material: La2AsSe2
Method: DFT, PBE
State: optimized geometry

```
5
Lattice="5.7672 0.0000 0.0000 0.0000 5.7672 0.0000 2.8836 2.8836 4.4140" Properties=species:S:1:pos:R:3 pbc="T T T"
As 0.0000 0.0000 0.0000
La 2.8836 5.7672 2.2070
La 5.7672 2.8836 2.2070
Se 2.8836 2.8836 1.5931
Se 5.7672 5.7672 2.8210
```

Computed properties:
Calculated volume, Å³/cell: 147
Fermi-level density of states, states/eV/cell: 2.8
Crystal system: tetragonal
Space-group type: No. 139

=====

<Q>
Material: La2AsSe2
Method: DFT, PBE
State: optimized geometry

```
10
Lattice="-0.1254 -0.3512 -8.3048 7.5430 -3.4944 0.0338 -1.6741 -3.6120 0.1780" Properties=species:S:1:pos:R:3 pbc="T T T"
As 3.7088 -1.9228 -4.1355
As 0.0000 0.0000 0.0000
Se 5.5913 -5.0449 -5.1733
Se 0.1521 -2.4127 -2.9196
Se 1.7915 -3.3769 -7.0643
Se 3.9519 -4.0807 -1.0286
La 1.1783 -0.8190 -5.5362
La 6.2392 -3.0266 -2.7347
La 2.4885 -1.2213 -1.3782
La 4.9291 -2.6243 -6.8927
```

Computed properties:
Calculated volume, Å³/cell: 275
Fermi-level density of states, states/eV/cell: 3.2
Crystal system: tetragonal
Space-group type: No. 127

=====

Stability summary: most stable <Q>, least stable <P>.

=====

<P>
Material: La2As2Se
Method: DFT, PBE
State: optimized geometry

```
5
Lattice="-2.2049 3.6519 -3.7284 -5.1911 -1.1173 1.9755 -3.2668 4.6209 2.1534" Properties=species:S:1:pos:R:3 pbc="T T T"
La -4.5848 4.7701 -1.2257
La -6.0780 2.3855 1.6262
Se 0.0000 0.0000 0.0000
As -3.5814 2.1740 -0.0573
As -7.0814 4.9815 0.4578
```

Computed properties:
Calculated volume, Å³/cell: 146
Fermi-level density of states, states/eV/cell: 0.2
Crystal system: tetragonal
Space-group type: No. 139

=====

<Q>
Material: La2As2Se
Method: DFT, PBE
State: optimized geometry

```
10
Lattice="8.0749 0.0000 0.0000 0.0000 8.0749 0.0000 0.0000 0.0000 4.2760" Properties=species:S:1:pos:R:3 pbc="T T T"
As 0.8695 4.9070 2.1380
As 3.1679 0.8695 2.1380
As 4.9070 7.2054 2.1380
As 7.2054 3.1679 2.1380
La 5.5079 1.4705 0.0000
La 6.6044 5.5079 0.0000
La 1.4705 2.5670 0.0000
La 2.5670 6.6044 0.0000
Se 4.0375 4.0375 0.0000
Se 0.0000 0.0000 0.0000
```

Computed properties:
Calculated volume, Å³/cell: 279
Fermi-level density of states, states/eV/cell: 3.3
Crystal system: tetragonal
Space-group type: No. 127

=====

Stability summary: most stable <Q>, least stable <P>.